Entry 1:
Computed, not measured: an optimized crystal structure of Tb5Y4Sc at the GGA-PBE level of DFT. Values from VASP.

```
&SYSTEM
  ibrav = 0, nat = 10, ntyp = 3
/
ATOMIC_SPECIES
Tb 158.93 Tb.upf
Y 88.91 Y.upf
Sc 44.96 Sc.upf
CELL_PARAMETERS angstrom
5.800 0.000 0.000
2.900 7.467 0.000
2.900 0.000 7.467
ATOMIC_POSITIONS crystal
Tb 0.773 0.372 0.000
Tb 0.773 0.000 0.372
Tb 0.675 0.000 0.000
Tb 0.145 0.628 0.000
Tb 0.145 0.000 0.628
Y 0.127 0.321 0.321
Y 0.769 0.679 0.679
Y 0.448 0.321 0.679
Y 0.448 0.679 0.321
Sc 0.208 0.000 0.000
```

## Properties
space-group type: I4mm, No. 107
formation enthalpy at 0 K: 5.1 kcal/mol of atoms
mass density: 6.14 Mg/m³
offset from the most stable computed form: 106 meV per atom

Entry 2:
Computed, not measured: an optimized crystal structure of TbY4Sc2 at the GGA-PBE level of DFT. Values from VASP.

```
&SYSTEM
  ibrav = 0, nat = 7, ntyp = 3
/
ATOMIC_SPECIES
Sc 44.96 Sc.upf
Y 88.91 Y.upf
Tb 158.93 Tb.upf
CELL_PARAMETERS angstrom
-5.142 -2.928 -1.057
3.527 2.953 -6.835
0.333 -5.652 2.009
ATOMIC_POSITIONS crystal
Sc 0.500 0.500 0.000
Sc 0.500 0.000 0.500
Y 0.020 0.271 0.678
Y 0.592 0.270 0.250
Y 0.980 0.729 0.322
Y 0.408 0.730 0.750
Tb 0.000 0.000 0.000
```

## Properties
space-group type: C2/m, No. 12
formation enthalpy at 0 K: 4.7 kcal/mol of atoms
mass density: 4.61 Mg/m³
offset from the most stable computed form: 60 meV per atom

Entry 3:
Computed, not measured: an optimized crystal structure of Tb2Y8Sc3 at the GGA-PBE level of DFT. Values from VASP.

```
&SYSTEM
  ibrav = 0, nat = 13, ntyp = 3
/
ATOMIC_SPECIES
Y 88.91 Y.upf
Sc 44.96 Sc.upf
Tb 158.93 Tb.upf
CELL_PARAMETERS angstrom
5.434 0.316 -0.936
-0.912 6.867 -2.980
1.753 0.601 10.391
ATOMIC_POSITIONS crystal
Y 0.000 0.126 0.253
Y 0.000 0.666 0.332
Y 0.500 0.189 0.798
Y 0.000 0.874 0.747
Y 0.000 0.334 0.668
Y 0.500 0.390 0.202
Y 0.500 0.811 0.202
Y 0.500 0.610 0.798
Sc 0.000 0.709 0.000
Sc 0.000 0.291 0.000
Sc 0.500 0.000 0.000
Tb 0.500 0.760 0.521
Tb 0.500 0.240 0.479
```

## Properties
space-group type: Cmmm, No. 65
formation enthalpy at 0 K: 5.4 kcal/mol of atoms
mass density: 4.71 Mg/m³
offset from the most stable computed form: 0 meV per atom

Entry 4:
Computed, not measured: an optimized crystal structure of Tb14YSc at the GGA-PBE level of DFT. Values from VASP.

```
&SYSTEM
  ibrav = 0, nat = 16, ntyp = 3
/
ATOMIC_SPECIES
Tb 158.93 Tb.upf
Sc 44.96 Sc.upf
Y 88.91 Y.upf
CELL_PARAMETERS angstrom
7.033 0.944 0.000
-0.944 7.033 0.000
0.000 0.000 9.996
ATOMIC_POSITIONS crystal
Tb 0.123 0.877 0.752
Tb 0.123 0.373 0.248
Tb 0.627 0.877 0.752
Tb 0.375 0.625 0.500
Tb 0.123 0.373 0.752
Tb 0.627 0.373 0.752
Tb 0.875 0.625 0.500
Tb 0.875 0.625 0.000
Tb 0.375 0.125 0.000
Tb 0.875 0.125 0.500
Tb 0.375 0.125 0.500
Tb 0.627 0.373 0.248
Tb 0.627 0.877 0.248
Tb 0.123 0.877 0.248
Sc 0.875 0.125 0.000
Y 0.375 0.625 0.000
```

## Properties
space-group type: P4/mmm, No. 123
formation enthalpy at 0 K: 0.5 kcal/mol of atoms
mass density: 7.78 Mg/m³

Entry 5:
Computed, not measured: an optimized crystal structure of Tb3Y2Sc4 at the GGA-PBE level of DFT. Values from VASP.

```
&SYSTEM
  ibrav = 0, nat = 18, ntyp = 3
/
ATOMIC_SPECIES
Sc 44.96 Sc.upf
Tb 158.93 Tb.upf
Y 88.91 Y.upf
CELL_PARAMETERS angstrom
5.480 1.467 1.051
2.033 10.600 0.629
2.033 4.011 9.832
ATOMIC_POSITIONS crystal
Sc 0.384 0.592 0.871
Sc 0.438 0.936 0.170
Sc 0.562 0.064 0.830
Sc 0.616 0.408 0.129
Sc 0.884 0.871 0.592
Sc 0.938 0.170 0.936
Sc 0.062 0.830 0.064
Sc 0.116 0.129 0.408
Tb 0.725 0.723 0.951
Tb 0.775 0.049 0.277
Tb 0.250 0.653 0.347
Tb 0.275 0.277 0.049
Tb 0.225 0.951 0.723
Tb 0.750 0.347 0.653
Y 0.443 0.270 0.497
Y 0.943 0.497 0.270
Y 0.057 0.503 0.730
Y 0.557 0.730 0.503
```

## Properties
space-group type: C2/c, No. 15
formation enthalpy at 0 K: 2.6 kcal/mol of atoms
mass density: 5.37 Mg/m³
offset from the most stable computed form: 55 meV per atom

Entry 6:
Computed, not measured: an optimized crystal structure of Tb5Y12Sc2 at the GGA-PBE level of DFT. Values from VASP.

```
&SYSTEM
  ibrav = 0, nat = 19, ntyp = 3
/
ATOMIC_SPECIES
Tb 158.93 Tb.upf
Y 88.91 Y.upf
Sc 44.96 Sc.upf
CELL_PARAMETERS angstrom
9.231 0.000 0.000
-4.616 7.601 1.214
0.000 -1.668 8.403
ATOMIC_POSITIONS crystal
Tb 0.000 0.000 0.500
Tb 0.769 0.539 0.431
Tb 0.704 0.408 0.024
Tb 0.296 0.592 0.976
Tb 0.231 0.461 0.569
Y 0.927 0.854 0.126
Y 0.672 0.707 0.766
Y 0.557 0.113 0.334
Y 0.564 0.741 0.322
Y 0.822 0.259 0.678
Y 0.073 0.146 0.874
Y 0.443 0.887 0.666
Y 0.436 0.259 0.678
Y 0.035 0.707 0.766
Y 0.965 0.293 0.234
Y 0.328 0.293 0.234
Y 0.178 0.741 0.322
Sc 0.667 0.000 0.000
Sc 0.333 0.000 0.000
```

## Properties
space-group type: C2/m, No. 12
formation enthalpy at 0 K: 2.7 kcal/mol of atoms
mass density: 5.33 Mg/m³

Entry 7:
Computed, not measured: an optimized crystal structure of Tb6Y2Sc3 at the GGA-PBE level of DFT. Values from VASP.

```
&SYSTEM
  ibrav = 0, nat = 11, ntyp = 3
/
ATOMIC_SPECIES
Tb 158.93 Tb.upf
Y 88.91 Y.upf
Sc 44.96 Sc.upf
CELL_PARAMETERS angstrom
-0.676 -1.904 4.488
-4.080 -4.464 0.191
-7.093 -27.344 6.226
ATOMIC_POSITIONS crystal
Tb 0.090 0.535 0.183
Tb 0.546 0.275 0.090
Tb 0.910 0.465 0.817
Tb 0.454 0.725 0.910
Tb 0.627 0.810 0.277
Tb 0.373 0.190 0.723
Y 0.831 0.917 0.632
Y 0.169 0.083 0.368
Sc 0.000 0.000 0.000
Sc 0.275 0.639 0.544
Sc 0.725 0.361 0.456
```

## Properties
space-group type: C2/m, No. 12
formation enthalpy at 0 K: 1.0 kcal/mol of atoms
mass density: 6.41 Mg/m³

Entry 8:
Computed, not measured: an optimized crystal structure of Tb3Y4Sc4 at the GGA-PBE level of DFT. Values from VASP.

```
&SYSTEM
  ibrav = 0, nat = 11, ntyp = 3
/
ATOMIC_SPECIES
Y 88.91 Y.upf
Tb 158.93 Tb.upf
Sc 44.96 Sc.upf
CELL_PARAMETERS angstrom
3.392 0.000 0.002
0.000 5.469 0.005
1.687 2.723 17.343
ATOMIC_POSITIONS crystal
Y 0.732 0.732 0.536
Y 0.591 0.091 0.819
Y 0.409 0.909 0.181
Y 0.268 0.268 0.464
Tb 0.863 0.364 0.272
Tb 0.000 0.000 0.000
Tb 0.137 0.637 0.728
Sc 0.318 0.819 0.362
Sc 0.545 0.545 0.912
Sc 0.455 0.456 0.088
Sc 0.682 0.181 0.638
```

## Properties
space-group type: P-1, No. 2
formation enthalpy at 0 K: 1.8 kcal/mol of atoms
mass density: 5.23 Mg/m³

Entry 9:
Computed, not measured: an optimized crystal structure of Tb19Y4Sc6 at the GGA-PBE level of DFT. Values from VASP.

```
&SYSTEM
  ibrav = 0, nat = 29, ntyp = 3
/
ATOMIC_SPECIES
Tb 158.93 Tb.upf
Sc 44.96 Sc.upf
Y 88.91 Y.upf
CELL_PARAMETERS angstrom
-1.303 5.988 -8.725
2.165 -10.038 -2.869
-8.940 0.187 5.807
ATOMIC_POSITIONS crystal
Tb 0.265 0.000 0.265
Tb 0.668 0.660 0.443
Tb 0.660 0.443 0.668
Tb 0.217 0.225 0.557
Tb 0.443 0.668 0.660
Tb 0.000 0.265 0.265
Tb 0.783 0.340 0.008
Tb 0.557 0.217 0.225
Tb 0.000 0.735 0.735
Tb 0.735 0.735 0.000
Tb 0.008 0.783 0.340
Tb 0.225 0.557 0.217
Tb 0.332 0.775 0.992
Tb 0.735 0.000 0.735
Tb 0.265 0.265 0.000
Tb 0.775 0.992 0.332
Tb 0.992 0.332 0.775
Tb 0.000 0.000 0.000
Tb 0.340 0.008 0.783
Sc 0.616 0.500 0.116
Sc 0.884 0.384 0.500
Sc 0.384 0.500 0.884
Sc 0.500 0.884 0.384
Sc 0.500 0.116 0.616
Sc 0.116 0.616 0.500
Y 0.000 0.000 0.642
Y 0.642 0.000 0.000
Y 0.000 0.642 0.000
Y 0.358 0.358 0.358
```

## Properties
space-group type: I23, No. 197
formation enthalpy at 0 K: 9.3 kcal/mol of atoms
mass density: 6.49 Mg/m³

Entry 10:
Computed, not measured: an optimized crystal structure of Tb3Y2Sc at the GGA-PBE level of DFT. Values from VASP.

```
&SYSTEM
  ibrav = 0, nat = 12, ntyp = 3
/
ATOMIC_SPECIES
Sc 44.96 Sc.upf
Tb 158.93 Tb.upf
Y 88.91 Y.upf
CELL_PARAMETERS angstrom
6.482 0.000 0.000
0.000 6.748 0.449
-3.241 -1.142 8.521
ATOMIC_POSITIONS crystal
Sc 0.817 0.750 0.000
Sc 0.183 0.250 0.000
Tb 0.673 0.250 0.000
Tb 0.103 0.018 0.285
Tb 0.182 0.518 0.285
Tb 0.327 0.750 0.000
Tb 0.818 0.482 0.715
Tb 0.897 0.982 0.715
Y 0.618 0.185 0.367
Y 0.382 0.815 0.633
Y 0.251 0.315 0.633
Y 0.749 0.685 0.367
```

## Properties
space-group type: C2/c, No. 15
formation enthalpy at 0 K: 2.9 kcal/mol of atoms
mass density: 6.18 Mg/m³
offset from the most stable computed form: 88 meV per atom

Entry 11:
Computed, not measured: an optimized crystal structure of Tb3YSc at the GGA-PBE level of DFT. Values from VASP.

```
&SYSTEM
  ibrav = 0, nat = 10, ntyp = 3
/
ATOMIC_SPECIES
Tb 158.93 Tb.upf
Sc 44.96 Sc.upf
Y 88.91 Y.upf
CELL_PARAMETERS angstrom
3.411 0.000 0.686
1.192 8.311 2.897
-0.407 0.027 10.845
ATOMIC_POSITIONS crystal
Tb 0.261 0.608 0.869
Tb 0.739 0.392 0.131
Tb 0.041 0.583 0.335
Tb 0.660 0.203 0.476
Tb 0.340 0.797 0.524
Tb 0.959 0.417 0.665
Sc 0.427 0.202 0.945
Sc 0.573 0.798 0.055
Y 0.889 0.993 0.229
Y 0.111 0.007 0.771
```

## Properties
space-group type: C2/m, No. 12
formation enthalpy at 0 K: 2.2 kcal/mol of atoms
mass density: 6.55 Mg/m³
offset from the most stable computed form: 53 meV per atom

Entry 12:
Computed, not measured: an optimized crystal structure of TbY6Sc4 at the GGA-PBE level of DFT. Values from VASP.

```
&SYSTEM
  ibrav = 0, nat = 11, ntyp = 3
/
ATOMIC_SPECIES
Tb 158.93 Tb.upf
Sc 44.96 Sc.upf
Y 88.91 Y.upf
CELL_PARAMETERS angstrom
-4.366 -2.825 -0.894
4.731 -7.282 -0.096
-3.390 2.878 7.460
ATOMIC_POSITIONS crystal
Tb 0.000 0.000 0.000
Sc 0.500 0.786 0.571
Sc 0.000 0.333 0.667
Sc 0.500 0.429 0.214
Sc 0.500 0.786 0.214
Y 0.000 0.533 0.467
Y 0.500 0.199 0.398
Y 0.000 0.933 0.467
Y 0.500 0.199 0.801
Y 0.500 0.602 0.801
Y 0.000 0.533 0.067
```

## Properties
space-group type: P-6m2, No. 187
formation enthalpy at 0 K: 7.7 kcal/mol of atoms
mass density: 4.20 Mg/m³

Which formula does entry 11 have? Tb3YSc

formation enthalpy at 0 K of number 8 (Tb3Y4Sc4)? 1.8 kcal/mol of atoms

The lowest mass density belongs to which entry? TbY6Sc4

Among the records above, which one has the lowest mass density? TbY6Sc4